1.
# MgTl3W

A geometry-optimized MgTl3W structure (GGA-PBEsol, Alexandria via LeMat-Bulk).

Computed properties:
crystal system = cubic

Cell lengths 5.2739, 5.2739, 5.2739 Å; angles 90.00, 90.00, 90.00 degrees
Space group Pm-3m (No. 221)
Inequivalent atoms, fractional coordinates:
1 Mg 0.0000 0.0000 0.0000
2 Tl 0.0000 0.0000 0.5000
3 W 0.5000 0.5000 0.5000


2.
# YMg2Tl

A geometry-optimized YMg2Tl structure (GGA-PBEsol, Alexandria via LeMat-Bulk).

Computed properties:
crystal system = monoclinic

Cell lengths 11.5992, 3.8214, 5.0191 Å; angles 90.00, 115.31, 90.00 degrees
Space group C2/m (No. 12)
Inequivalent atoms, fractional coordinates:
1 Y 0.0000 0.0000 0.0000
2 Mg 0.2356 0.0000 0.7355
3 Tl 0.0000 0.5000 0.5000


3.
# YMg2Tl

A geometry-optimized YMg2Tl structure (GGA-PBEsol, Alexandria via LeMat-Bulk).

Computed properties:
crystal system = monoclinic

Cell lengths 3.3842, 4.7194, 6.4385 Å; angles 90.00, 105.39, 90.00 degrees
Space group Pm (No. 6)
Inequivalent atoms, fractional coordinates:
1 Y 0.0000 0.0000 0.0000
2 Mg 0.2569 0.0000 0.5161
3 Mg 0.6567 0.5000 0.3136
4 Tl 0.3960 0.5000 0.7928


4.
# YMg2Tl

A geometry-optimized YMg2Tl structure (GGA-PBEsol, Alexandria via LeMat-Bulk).

Computed properties:
crystal system = tetragonal

Cell lengths 4.4743, 4.4743, 4.7726 Å; angles 90.00, 90.00, 90.00 degrees
Space group P4/mmm (No. 123)
Inequivalent atoms, fractional coordinates:
1 Y 0.0000 0.0000 0.0000
2 Mg 0.0000 0.5000 0.5000
3 Tl 0.5000 0.5000 0.0000


Computed values of total magnetization (unit: μB per atom) for the preceding records, in sequence: 0.83 0.00 0.00 0.00.
Computed values of formation energy (unit: eV/atom) for the preceding records, in sequence: 1.571 -0.159 -0.189 -0.281.